(1)
Entry from Alexandria: SrCo2As after structural relaxation (PBE).

Unit cell a=3.919 b=4.687 c=4.758 alpha=90.00 beta=90.00 gamma=90.00
Fractional positions:
Sr1 0.000 0.000 0.000
Co1 0.500 0.236 0.500
Co2 0.500 0.764 0.500
As1 0.000 0.500 0.500

- ρ: 5.328 g cm⁻³
- Electronic total energy: -20.724 eV for the cell shown

(2)
Entry from Alexandria: LiSmAgIr after structural relaxation (PBE).

Unit cell a=4.802 b=4.802 c=4.802 alpha=60.00 beta=60.00 gamma=60.00
Fractional positions:
Li1 0.000 0.000 0.000
Sm1 0.500 0.500 0.500
Ag1 0.750 0.750 0.750
Ir1 0.250 0.250 0.250

- ρ: 9.701 g cm⁻³
- Electronic total energy: -19.348 eV for the cell shown

no.,DOS at the Fermi energy (states/eV per cell)
1,4.2
2,0.6